# 1
CaSn2Pd2: optimized geometry, GGA-PBE.

a b c (Å): 8.118 8.118 3.227
angles (deg): 90.00 90.00 90.00
Fractional coordinates of all 10 atoms:
Ca 0.000 0.000 0.000
Ca 0.500 0.500 0.000
Sn 0.139 0.361 0.000
Sn 0.361 0.861 0.000
Sn 0.639 0.139 0.000
Sn 0.861 0.639 0.000
Pd 0.154 0.654 0.500
Pd 0.346 0.154 0.500
Pd 0.654 0.846 0.500
Pd 0.846 0.346 0.500

Calculated values
Space-group type: P4/mbm, No. 127
Energy of formation from the pure elements: -2.44 eV per formula unit



# 2
Pr4Nd7Tm: optimized geometry, GGA-PBE.

a b c (Å): 6.404 7.385 9.206
angles (deg): 89.89 76.45 89.92
Fractional coordinates of all 12 atoms:
Pr 0.220 0.252 0.329
Pr 0.277 0.000 0.668
Pr 0.723 0.000 0.332
Pr 0.780 0.748 0.671
Nd 0.000 0.252 0.000
Nd 0.000 0.748 0.000
Nd 0.221 0.748 0.328
Nd 0.282 0.500 0.669
Nd 0.500 0.000 0.000
Nd 0.718 0.500 0.331
Nd 0.779 0.252 0.672
Tm 0.500 0.500 0.000

Calculated values
Space-group type: P-1, No. 2
Energy of formation from the pure elements: 0.20 eV per formula unit
Energy relative to the lowest polymorph listed for this composition: 0.00 eV per formula unit



# 3
CaDy2Ga2: optimized geometry, GGA-PBE.

a b c (Å): 8.038 8.038 4.008
angles (deg): 90.00 90.00 90.00
Fractional coordinates of all 10 atoms:
Ca 0.000 0.000 0.000
Ca 0.500 0.500 0.000
Dy 0.176 0.324 0.500
Dy 0.324 0.824 0.500
Dy 0.676 0.176 0.500
Dy 0.824 0.676 0.500
Ga 0.119 0.619 0.000
Ga 0.381 0.119 0.000
Ga 0.619 0.881 0.000
Ga 0.881 0.381 0.000

Calculated values
Space-group type: P4/mbm, No. 127
Energy of formation from the pure elements: -2.29 eV per formula unit



# 4
ZrMn4Os: optimized geometry, GGA-PBE.

a b c (Å): 4.797 4.797 4.797
angles (deg): 60.00 60.00 60.00
Fractional coordinates of all 6 atoms:
Zr 0.000 0.000 0.000
Mn 0.373 0.373 0.373
Mn 0.373 0.373 0.882
Mn 0.373 0.882 0.373
Mn 0.882 0.373 0.373
Os 0.750 0.750 0.750

Calculated values
Space-group type: F-43m, No. 216
Energy of formation from the pure elements: -0.33 eV per formula unit



# 5
Dy12Pd5Pt3: optimized geometry, GGA-PBE.

a b c (Å): 14.367 14.367 14.367
angles (deg): 109.47 109.47 109.47
Fractional coordinates of all 80 atoms:
Dy 0.050 0.221 0.131
Dy 0.050 0.329 0.919
Dy 0.081 0.631 0.410
Dy 0.081 0.950 0.671
Dy 0.090 0.721 0.671
Dy 0.090 0.869 0.419
Dy 0.131 0.050 0.221
Dy 0.131 0.581 0.910
Dy 0.171 0.221 0.590
Dy 0.171 0.450 0.581
Dy 0.221 0.131 0.050
Dy 0.221 0.590 0.171
Dy 0.279 0.329 0.910
Dy 0.279 0.450 0.369
Dy 0.329 0.910 0.279
Dy 0.329 0.919 0.050
Dy 0.369 0.279 0.450
Dy 0.369 0.590 0.919
Dy 0.410 0.081 0.631
Dy 0.410 0.829 0.779
Dy 0.419 0.090 0.869
Dy 0.419 0.829 0.550
Dy 0.450 0.369 0.279
Dy 0.450 0.581 0.171
Dy 0.550 0.419 0.829
Dy 0.550 0.631 0.721
Dy 0.581 0.171 0.450
Dy 0.581 0.910 0.131
Dy 0.590 0.171 0.221
Dy 0.590 0.919 0.369
Dy 0.631 0.410 0.081
Dy 0.631 0.721 0.550
Dy 0.671 0.081 0.950
Dy 0.671 0.090 0.721
Dy 0.721 0.550 0.631
Dy 0.721 0.671 0.090
Dy 0.779 0.410 0.829
Dy 0.779 0.869 0.950
Dy 0.829 0.550 0.419
Dy 0.829 0.779 0.410
Dy 0.869 0.419 0.090
Dy 0.869 0.950 0.779
Dy 0.910 0.131 0.581
Dy 0.910 0.279 0.329
Dy 0.919 0.050 0.329
Dy 0.919 0.369 0.590
Dy 0.950 0.671 0.081
Dy 0.950 0.779 0.869
Pd 0.000 0.000 0.000
Pd 0.000 0.000 0.500
Pd 0.000 0.500 0.000
Pd 0.000 0.500 0.500
Pd 0.125 0.750 0.875
Pd 0.125 0.875 0.250
Pd 0.250 0.125 0.875
Pd 0.250 0.625 0.375
Pd 0.375 0.250 0.625
Pd 0.375 0.625 0.750
Pd 0.500 0.000 0.000
Pd 0.500 0.000 0.500
Pd 0.500 0.500 0.000
Pd 0.500 0.500 0.500
Pd 0.625 0.375 0.250
Pd 0.625 0.750 0.375
Pd 0.750 0.375 0.625
Pd 0.750 0.875 0.125
Pd 0.875 0.125 0.750
Pd 0.875 0.250 0.125
Pt 0.125 0.250 0.375
Pt 0.125 0.375 0.750
Pt 0.250 0.375 0.125
Pt 0.250 0.875 0.625
Pt 0.375 0.125 0.250
Pt 0.375 0.750 0.125
Pt 0.625 0.250 0.875
Pt 0.625 0.875 0.750
Pt 0.750 0.125 0.375
Pt 0.750 0.625 0.875
Pt 0.875 0.625 0.250
Pt 0.875 0.750 0.625

Calculated values
Space-group type: Ia-3d, No. 230
Energy of formation from the pure elements: -9.71 eV per formula unit



# 6
TmThNi: optimized geometry, GGA-PBE.

a b c (Å): 3.670 6.030 7.118
angles (deg): 91.61 104.90 107.65
Fractional coordinates of all 6 atoms:
Tm 0.000 0.000 0.000
Tm 0.302 0.051 0.551
Th 0.123 0.527 0.723
Th 0.432 0.572 0.289
Ni 0.695 0.406 0.985
Ni 0.732 0.177 0.286

Calculated values
Space-group type: P1, No. 1
Energy of formation from the pure elements: -0.91 eV per formula unit
Energy relative to the lowest polymorph listed for this composition: 0.00 eV per formula unit



# 7
La2AgRhAu: optimized geometry, GGA-PBE.

a b c (Å): 7.711 4.256 8.127
angles (deg): 90.00 111.06 90.00
Fractional coordinates of all 10 atoms:
La 0.023 0.250 0.214
La 0.360 0.750 0.626
La 0.640 0.250 0.374
La 0.977 0.750 0.786
Ag 0.354 0.250 0.955
Ag 0.646 0.750 0.045
Rh 0.103 0.250 0.607
Rh 0.897 0.750 0.393
Au 0.320 0.750 0.197
Au 0.680 0.250 0.803

Calculated values
Space-group type: P2_1/m, No. 11
Energy of formation from the pure elements: -3.19 eV per formula unit



# 8
Rb2NdPbO4: optimized geometry, GGA-PBE.

a b c (Å): 5.944 5.944 6.503
angles (deg): 116.61 116.61 89.96
Fractional coordinates of all 8 atoms:
Rb 0.000 0.000 0.000
Rb 0.747 0.253 0.500
Nd 0.525 0.475 0.000
Pb 0.264 0.736 0.500
O 0.267 0.419 0.585
O 0.459 0.072 0.939
O 0.581 0.733 0.415
O 0.928 0.541 0.061

Calculated values
Electronic total energy: -0.40730 Ry/atom
Space-group type: C2, No. 5



For the records above, the corresponding Fermi-level density of states values read 1.947, 17.133, 5.892, 6.883, 18.823, 3.072, 4.047, 1.910 states/eV/f.u..